1.
Y4Cd3Mo2C3 (PBE, optimized geometry); SG = C2/c (15)
1.0
-1.079 3.348 4.777
-5.616 1.153 1.525
2.430 -14.056 6.098
Y C Mo Cd
8 6 4 6
Direct
0.814 0.946 0.905
0.946 0.814 0.405
0.702 0.887 0.595
0.298 0.113 0.405
0.186 0.054 0.095
0.887 0.702 0.095
0.054 0.186 0.595
0.113 0.298 0.905
0.649 0.204 0.501
0.204 0.649 0.001
0.796 0.351 0.999
0.351 0.796 0.499
0.500 0.000 0.000
0.000 0.500 0.500
0.341 0.524 0.561
0.476 0.659 0.939
0.524 0.341 0.061
0.659 0.476 0.439
0.693 0.577 0.742
0.851 0.149 0.250
0.307 0.423 0.258
0.423 0.307 0.758
0.149 0.851 0.750
0.577 0.693 0.242



2.
ErPbW (PBE, optimized geometry); SG = F-43m (216)
1.0
0.000 3.487 3.487
3.487 0.000 3.487
3.487 3.487 0.000
Er Pb W
1 1 1
Direct
0.000 0.000 0.000
0.250 0.250 0.250
0.750 0.750 0.750



3.
YTm2Fe2Co7 (PBE, optimized geometry); SG = R-3m (166); ΔE_f = -0.2089 eV/atom
1.0
2.518 1.454 7.869
-2.518 1.454 7.869
0.000 -2.907 7.869
Co Fe Tm Y
7 2 2 1
Direct
0.500 0.500 0.500
0.584 0.584 0.080
0.584 0.080 0.584
0.416 0.920 0.416
0.416 0.416 0.920
0.920 0.416 0.416
0.080 0.584 0.584
0.666 0.666 0.666
0.334 0.334 0.334
0.141 0.141 0.141
0.859 0.859 0.859
0.000 0.000 0.000



4.
DyY2P3 (PBE, optimized geometry); SG = P-3m1 (164)
1.0
4.006 0.000 0.000
-2.003 3.469 0.000
0.000 0.000 9.831
Y P Dy
2 3 1
Direct
0.333 0.667 0.833
0.667 0.333 0.167
0.667 0.333 0.666
0.333 0.667 0.334
0.000 0.000 0.000
0.000 0.000 0.500



5.
FeNiBPt (PBE, optimized geometry); SG = F-43m (216)
1.0
-0.684 1.047 3.812
-0.572 3.856 0.949
-3.640 1.274 1.108
B Pt Ni Fe
1 1 1 1
Direct
0.000 0.000 0.000
0.250 0.250 0.250
0.750 0.750 0.750
0.500 0.500 0.500



6.
HoTlZnS3 (PBE, optimized geometry); SG = Pnma (62)
1.0
10.527 0.000 0.000
0.000 3.960 0.000
0.000 0.000 14.283
Tl S Ho Zn
4 12 4 4
Direct
0.728 0.250 0.497
0.228 0.250 0.003
0.272 0.750 0.503
0.772 0.750 0.997
0.951 0.250 0.130
0.578 0.250 0.124
0.451 0.250 0.370
0.922 0.750 0.624
0.549 0.750 0.630
0.239 0.250 0.688
0.261 0.750 0.188
0.078 0.250 0.376
0.761 0.750 0.312
0.739 0.250 0.812
0.049 0.750 0.870
0.422 0.750 0.876
0.512 0.750 0.245
0.488 0.250 0.755
0.012 0.750 0.255
0.988 0.250 0.745
0.238 0.750 0.787
0.762 0.250 0.213
0.738 0.750 0.713
0.262 0.250 0.287



7.
ScBeGaFe (PBE, optimized geometry); SG = F-43m (216)
1.0
0.000 3.007 3.007
3.007 0.000 3.007
3.007 3.007 0.000
Sc Fe Ga Be
1 1 1 1
Direct
0.000 0.000 0.000
0.750 0.750 0.750
0.250 0.250 0.250
0.500 0.500 0.500



8.
ThNp (PBE, optimized geometry); SG = F-43m (216); ΔE_f = 1.8563 eV/atom
1.0
0.000 3.207 3.207
3.207 0.000 3.207
3.207 3.207 0.000
Np Th
1 1
Direct
0.000 0.000 0.000
0.250 0.250 0.250



9.
ErTeAuO (PBE, optimized geometry); SG = P4bm (100)
1.0
5.636 0.000 0.000
0.000 5.636 0.000
0.000 0.000 10.092
Er Au Te O
4 4 4 4
Direct
0.000 0.000 0.896
0.500 0.500 0.896
0.500 0.000 0.105
0.000 0.500 0.105
0.721 0.221 0.498
0.779 0.721 0.498
0.279 0.779 0.498
0.221 0.279 0.498
0.500 0.500 0.284
0.500 0.000 0.718
0.000 0.500 0.718
0.000 0.000 0.284
0.251 0.751 0.001
0.249 0.251 0.001
0.749 0.249 0.001
0.751 0.749 0.001



10.
Pr3Zr3Te2Pd (PBE, optimized geometry); SG = P-62m (189)
1.0
-2.655 1.984 -7.810
2.682 -7.868 1.698
-3.519 -0.996 0.943
Pr Te Zr Pd
3 2 3 1
Direct
0.256 0.256 0.500
0.744 0.000 0.500
0.000 0.744 0.500
0.333 0.667 0.500
0.667 0.333 0.500
0.585 0.585 0.000
0.415 0.000 0.000
0.000 0.415 0.000
0.000 0.000 0.000



11.
Li2Zn4PdPt (PBE, optimized geometry); SG = P4/mmm (123)
1.0
4.302 0.000 0.000
0.000 4.302 0.000
0.000 0.000 6.080
Zn Li Pd Pt
4 2 1 1
Direct
0.500 0.000 0.250
0.000 0.500 0.250
0.000 0.500 0.750
0.500 0.000 0.750
0.000 0.000 0.500
0.500 0.500 0.000
0.000 0.000 0.000
0.500 0.500 0.500



12.
PaZn2 (PBE, optimized geometry); SG = Cmcm (63); ΔE_f = 0.0147 eV/atom
1.0
15.395 0.000 0.000
0.000 2.932 0.000
0.000 0.000 4.859
Zn Pa
8 4
Direct
0.446 0.000 0.500
0.998 0.000 0.000
0.855 0.500 0.000
0.498 0.500 0.000
0.089 0.000 0.500
0.589 0.500 0.500
0.946 0.500 0.500
0.355 0.000 0.000
0.268 0.500 0.500
0.176 0.500 0.000
0.676 0.000 0.000
0.768 0.000 0.500



13.
RbGeAu (PBE, optimized geometry); SG = Imm2 (44)
1.0
1.278 -5.504 -3.965
-3.192 -4.239 4.414
-1.483 5.162 -4.336
Au Ge Rb
2 2 2
Direct
0.130 0.953 0.177
0.776 0.953 0.823
0.720 0.367 0.352
0.015 0.367 0.648
0.593 0.593 0.000
0.224 0.724 0.500



14.
Hf2TlHg (PBE, optimized geometry); SG = F-43m (216)
1.0
3.324 -2.224 3.112
-0.310 -4.977 0.900
3.514 -3.136 -1.869
Tl Hf Hg
1 2 1
Direct
0.500 0.500 0.500
0.750 0.750 0.750
0.000 0.000 0.000
0.250 0.250 0.250



15.
Cs2Tm4Cu4S9 (PBE, optimized geometry); SG = C2/m (12)
1.0
6.995 -1.973 0.000
6.995 1.973 0.000
-5.149 0.000 15.114
Cs Tm Cu S
2 4 4 9
Direct
0.529 0.529 0.771
0.471 0.471 0.229
0.847 0.847 0.946
0.153 0.153 0.054
0.732 0.732 0.603
0.268 0.268 0.397
0.749 0.749 0.229
0.931 0.931 0.539
0.251 0.251 0.771
0.069 0.069 0.461
0.356 0.356 0.573
0.109 0.109 0.621
0.891 0.891 0.379
0.211 0.211 0.905
0.500 0.500 0.000
0.789 0.789 0.095
0.163 0.163 0.224
0.644 0.644 0.427
0.837 0.837 0.776



16.
DyHoInFe2 (PBE, optimized geometry); SG = Amm2 (38)
1.0
-0.758 1.642 -3.536
-6.799 0.890 1.871
-5.046 4.038 2.957
Fe Dy Ho In
2 1 1 1
Direct
0.500 0.790 0.790
0.500 0.209 0.209
0.000 0.362 0.362
0.000 0.638 0.638
0.500 0.000 0.000



17.
HoInIr (PBE, optimized geometry); SG = P-62m (189)
1.0
8.253 0.000 0.000
-4.126 7.147 0.000
0.000 0.000 3.130
In Ho Ir
3 3 3
Direct
0.000 0.000 0.500
0.333 0.667 0.000
0.667 0.333 0.000
0.695 0.695 0.000
0.305 0.000 0.000
0.000 0.305 0.000
0.000 0.619 0.500
0.619 0.000 0.500
0.381 0.381 0.500



18.
Cu7Ag3 (PBE, optimized geometry); SG = Pm (6); ΔE_f = 0.0945 eV/atom
1.0
-3.859 -2.589 -0.545
1.508 -2.269 0.103
-0.051 0.462 10.945
Cu Ag
7 3
Direct
0.598 0.000 0.800
0.698 0.500 0.616
0.997 0.000 0.980
0.490 0.500 0.983
0.101 0.500 0.795
0.306 0.500 0.418
0.213 0.000 0.611
0.806 0.000 0.415
0.896 0.500 0.187
0.395 0.000 0.196



19.
TbGdAg2Pb2 (PBE, optimized geometry); SG = P3m1 (156)
1.0
4.822 0.000 0.000
-2.411 4.176 0.000
0.000 0.000 7.468
Ag Gd Pb Tb
2 1 2 1
Direct
0.667 0.333 0.181
0.333 0.667 0.679
0.000 0.000 0.992
0.667 0.333 0.771
0.333 0.667 0.272
0.000 0.000 0.492



20.
KAuSO (PBE, optimized geometry); SG = Pca2_1 (29)
1.0
7.428 0.000 0.000
0.000 8.668 0.000
0.000 0.000 5.560
S O K Au
4 4 4 4
Direct
0.816 0.473 0.684
0.684 0.473 0.184
0.184 0.527 0.184
0.316 0.527 0.684
0.052 0.131 0.035
0.552 0.869 0.035
0.448 0.131 0.535
0.948 0.869 0.535
0.093 0.147 0.524
0.593 0.853 0.524
0.907 0.853 0.024
0.407 0.147 0.024
0.112 0.696 0.507
0.612 0.304 0.507
0.388 0.696 0.007
0.888 0.304 0.007



21.
TmSbN2O (PBE, optimized geometry); SG = P1 (1)
1.0
-4.456 1.502 -2.762
2.658 -4.656 -1.441
-0.874 -1.995 5.463
N O Tm Sb
4 2 2 2
Direct
0.175 0.204 0.729
0.770 0.556 0.735
0.227 0.451 0.257
0.486 0.031 0.274
0.532 0.965 0.758
0.824 0.780 0.257
0.265 0.632 0.905
0.716 0.359 0.088
0.694 0.845 0.545
0.311 0.175 0.451



22.
RbPaCuTe3 (PBE, optimized geometry); SG = Cmcm (63)
1.0
-3.059 7.098 -3.607
-1.146 -7.041 4.675
2.493 5.902 9.499
Te Cu Rb Pa
6 2 2 2
Direct
0.874 0.126 0.437
0.126 0.874 0.563
0.126 0.874 0.937
0.874 0.126 0.063
0.565 0.435 0.250
0.435 0.565 0.750
0.969 0.031 0.250
0.031 0.969 0.750
0.754 0.246 0.750
0.246 0.754 0.250
0.500 0.500 0.500
0.500 0.500 0.000



| no. | volume (A^3/atom) | final energy (eV/cell) |
| --- | --- | --- |
| 1 | 19.17 | -162.68 |
| 2 | 28.25 | -17.20 |
| 3 | 14.40 | -84.28 |
| 4 | 22.77 | -43.50 |
| 5 | 11.42 | -25.56 |
| 6 | 24.81 | -111.79 |
| 7 | 13.59 | -21.28 |
| 8 | 32.98 | -16.47 |
| 9 | 20.04 | -91.84 |
| 10 | 26.16 | -55.46 |
| 11 | 14.06 | -24.20 |
| 12 | 18.28 | -47.93 |
| 13 | 32.81 | -19.01 |
| 14 | 23.00 | -20.54 |
| 15 | 21.95 | -98.23 |
| 16 | 20.49 | -29.58 |
| 17 | 20.51 | -50.36 |
| 18 | 13.85 | -33.55 |
| 19 | 25.06 | -24.91 |
| 20 | 22.38 | -60.65 |
| 21 | 13.21 | -70.64 |
| 22 | 34.18 | -56.90 |